Computed, not measured: a geometry-optimized TcBTeN2 structure at the PBE-GGA level of DFT.

Calculated values
formation energy from raw total energies = 1865 meV per atom
DFT total energy = -0.20220 hartree per atom
relative energy among the computed polymorphs = 706 meV per atom
space group = P4/mmm, No. 123

Cell: 3.4562 3.4562 6.4892 Å, 90.00 90.00 90.00°
With the nearest neighbours (Å) after each atom.
Element x y z (fractional)
B 0.0000 0.0000 0.0000  4 N 1.73
Te 0.0000 0.0000 0.5000  4 Tc 2.44
Tc 0.5000 0.5000 0.5000  4 Te 2.44
N 0.0000 0.5000 0.0000  2 B 1.73
N 0.5000 0.0000 0.0000  2 B 1.73

Computed, not measured: a geometry-optimized CePa6 structure at the PBE-GGA level of DFT.

Calculated values
DFT total energy = -0.32365 hartree per atom
energy relative to the elements = 180 meV/atom
relative energy among the computed polymorphs = 0 meV per atom
space group = R-3, No. 148

Cell: 3.2113 7.9793 7.9793 Å, 118.23 97.71 97.71°
With the nearest neighbours (Å) after each atom.
Element x y z (fractional)
Ce 0.5000 0.0000 0.0000  6 Pa 3.06, 2 Ce 3.21
Pa 0.5105 0.5695 0.8485  1 Ce 3.06, 7 Pa 3.11-3.27
Pa 0.6621 0.1515 0.7210  1 Ce 3.06, 7 Pa 3.11-3.27
Pa 0.0589 0.7210 0.5695  1 Ce 3.06, 7 Pa 3.11-3.27
Pa 0.9411 0.2790 0.4305  1 Ce 3.06, 7 Pa 3.11-3.27
Pa 0.3379 0.8485 0.2790  1 Ce 3.06, 7 Pa 3.11-3.27
Pa 0.4895 0.4305 0.1515  1 Ce 3.06, 7 Pa 3.11-3.27

Computed, not measured: a geometry-optimized Tb2CeDy4Tm structure at the PBE-GGA level of DFT.

Calculated values
DFT total energy = -0.17340 hartree per atom
energy relative to the elements = 41 meV/atom
space group = P2/m, No. 10

Cell: 3.5352 6.1186 11.7242 Å, 79.94 90.00 90.00°
With the nearest neighbours (Å) after each atom.
Element x y z (fractional)
Tb 0.0000 0.0000 0.0000  4 Tm 3.53, 2 Tb 3.54, 6 Dy 3.54-3.55
Tb 0.5000 0.0000 0.5000  4 Ce 3.53, 2 Tb 3.54, 6 Dy 3.54
Ce 0.0000 0.5000 0.5000  6 Dy 3.52-3.53, 4 Tb 3.53, 2 Ce 3.54
Dy 0.0000 0.7473 0.7505  6 Dy 3.50-3.56, 2 Tm 3.52, 1 Ce 3.53, 3 Tb 3.54
Dy 0.0000 0.2527 0.2495  6 Dy 3.50-3.56, 2 Tm 3.52, 1 Ce 3.53, 3 Tb 3.54
Dy 0.5000 0.7463 0.2508  6 Dy 3.50-3.56, 2 Ce 3.52, 1 Tm 3.53, 3 Tb 3.54-3.55
Dy 0.5000 0.2537 0.7492  6 Dy 3.50-3.56, 2 Ce 3.52, 1 Tm 3.53, 3 Tb 3.54-3.55
Tm 0.5000 0.5000 0.0000  6 Dy 3.52-3.53, 4 Tb 3.53, 2 Tm 3.54

Computed, not measured: a geometry-optimized CaTb12Ho6 structure at the PBE-GGA level of DFT.

Calculated values
DFT total energy = -0.14877 hartree per atom
energy relative to the elements = 427 meV/atom
space group = R-3m, No. 166

Cell: 9.3502 9.3502 9.3502 Å, 107.89 107.89 107.89°
With the nearest neighbours (Å) after each atom.
Element x y z (fractional)
Ca 0.0000 0.0000 0.0000  6 Tb 3.50
Tb 0.8887 0.1113 0.5000  4 Ho 3.30-3.42, 5 Tb 3.36-3.65
Tb 0.3648 0.1462 0.3648  1 Ho 3.10, 2 Tb 3.30
Tb 0.3648 0.3648 0.1462  1 Ho 3.10, 2 Tb 3.30
Tb 0.8538 0.6352 0.6352  1 Ho 3.10, 2 Tb 3.30
Tb 0.6352 0.6352 0.8538  1 Ho 3.10, 2 Tb 3.30
Tb 0.6352 0.8538 0.6352  1 Ho 3.10, 2 Tb 3.30
Tb 0.5000 0.8887 0.1113  4 Ho 3.30-3.42, 5 Tb 3.36-3.65
Tb 0.1113 0.5000 0.8887  4 Ho 3.30-3.42, 5 Tb 3.36-3.65
Tb 0.1113 0.8887 0.5000  4 Ho 3.30-3.42, 5 Tb 3.36-3.65
Tb 0.5000 0.1113 0.8887  4 Ho 3.30-3.42, 5 Tb 3.36-3.65
Tb 0.8887 0.5000 0.1113  4 Ho 3.30-3.42, 5 Tb 3.36-3.65
Tb 0.1462 0.3648 0.3648  1 Ho 3.10, 2 Tb 3.30
Ho 0.6857 0.2669 0.6857  5 Tb 3.10-3.42
Ho 0.6857 0.6857 0.2669  5 Tb 3.10-3.42
Ho 0.2669 0.6857 0.6857  5 Tb 3.10-3.42
Ho 0.3143 0.3143 0.7331  5 Tb 3.10-3.42
Ho 0.3143 0.7331 0.3143  5 Tb 3.10-3.42
Ho 0.7331 0.3143 0.3143  5 Tb 3.10-3.42

Computed, not measured: a geometry-optimized Tb3Sc2Se6 structure at the PBE-GGA level of DFT.

Calculated values
formation energy from raw total energies = -1707 meV per atom
DFT total energy = -0.22129 hartree per atom
space group = R-3m, No. 166

Cell: 3.9859 3.9859 20.3230 Å, 84.37 84.37 60.00°
With the nearest neighbours (Å) after each atom.
Element x y z (fractional)
Tb 0.0000 0.0000 0.0000  6 Se 2.88
Tb 0.2768 0.2768 0.1697  6 Se 2.86-2.92
Tb 0.7232 0.7232 0.8303  6 Se 2.86-2.92
Sc 0.4482 0.4482 0.6555  6 Se 2.64-2.88
Sc 0.5518 0.5518 0.3445  6 Se 2.64-2.88
Se 0.0862 0.0862 0.7415  3 Sc 2.88, 3 Tb 2.92
Se 0.9138 0.9138 0.2585  3 Sc 2.88, 3 Tb 2.92
Se 0.1971 0.1971 0.4088  3 Sc 2.64
Se 0.8029 0.8029 0.5912  3 Sc 2.64
Se 0.3619 0.3619 0.9144  6 Tb 2.86-2.88
Se 0.6381 0.6381 0.0856  6 Tb 2.86-2.88

Computed, not measured: a geometry-optimized Nd8ErTh4 structure at the PBE-GGA level of DFT.

Calculated values
DFT total energy = -0.18428 hartree per atom
energy relative to the elements = 553 meV/atom
space group = R-3m, No. 166

Cell: 11.4161 11.4161 7.9127 Å, 90.00 136.17 120.00°
With the nearest neighbours (Å) after each atom.
Element x y z (fractional)
Nd 0.5262 0.7631 0.2893  1 Th 3.11, 1 Er 3.46
Nd 0.4738 0.2369 0.7107  1 Th 3.11, 1 Er 3.46
Nd 0.4605 0.2303 0.2008  4 Th 3.35-3.50, 1 Er 3.61, 2 Nd 3.68
Nd 0.0295 0.2598 0.7992  4 Th 3.35-3.50, 1 Er 3.61, 2 Nd 3.68
Nd 0.5395 0.7697 0.7992  4 Th 3.35-3.50, 1 Er 3.61, 2 Nd 3.68
Nd 0.0295 0.7697 0.7992  4 Th 3.35-3.50, 1 Er 3.61, 2 Nd 3.68
Nd 0.9705 0.2303 0.2008  4 Th 3.35-3.50, 1 Er 3.61, 2 Nd 3.68
Nd 0.9705 0.7402 0.2008  4 Th 3.35-3.50, 1 Er 3.61, 2 Nd 3.68
Er 0.0000 0.5000 0.5000  8 Nd 3.46-3.61
Th 0.0000 0.0000 0.0000  8 Nd 3.11-3.35
Th 0.0000 0.5000 0.0000  8 Nd 3.44-3.53
Th 0.5000 0.5000 0.0000  8 Nd 3.44-3.53
Th 0.5000 0.0000 0.0000  8 Nd 3.44-3.53

Computed, not measured: a geometry-optimized AcYCuSb structure at the PBE-GGA level of DFT.

Calculated values
formation energy from raw total energies = -419 meV per atom
DFT total energy = -0.18804 hartree per atom
space group = F-43m, No. 216

Cell: 5.3948 5.3948 5.3948 Å, 60.00 60.00 60.00°
With the nearest neighbours (Å) after each atom.
Element x y z (fractional)
Y 0.5000 0.5000 0.5000  4 Sb 3.30, 4 Cu 3.30
Sb 0.2500 0.2500 0.2500  4 Ac 3.30, 4 Y 3.30
Ac 0.0000 0.0000 0.0000  4 Sb 3.30, 4 Cu 3.30
Cu 0.7500 0.7500 0.7500  4 Ac 3.30, 4 Y 3.30

Computed, not measured: a geometry-optimized PmSi4Rh4 structure at the PBE-GGA level of DFT.

Calculated values
formation energy from raw total energies = -765 meV per atom
DFT total energy = -0.25614 hartree per atom
space group = I4/m, No. 87

Cell: 4.1751 8.5829 8.5829 Å, 90.00 90.00 90.00°
With the nearest neighbours (Å) after each atom.
Element x y z (fractional)
Pm 0.0000 0.0000 0.0000  12 Si 3.46-3.47, 12 Rh 3.70-3.79
Pm 0.5000 0.5000 0.5000  12 Si 3.46-3.47, 12 Rh 3.70-3.79
Si 0.5000 0.8374 0.2779  4 Rh 2.29-2.37
Si 0.5000 0.1626 0.7221  4 Rh 2.29-2.37
Si 0.0000 0.7779 0.6627  4 Rh 2.29-2.37
Si 0.0000 0.3373 0.7779  4 Rh 2.29-2.37
Si 0.0000 0.6627 0.2221  4 Rh 2.29-2.37
Si 0.5000 0.2779 0.1626  4 Rh 2.29-2.37
Si 0.5000 0.7221 0.8374  4 Rh 2.29-2.37
Si 0.0000 0.2221 0.3373  4 Rh 2.29-2.37
Rh 0.5000 0.3564 0.9063  4 Si 2.29-2.37
Rh 0.0000 0.5937 0.8564  4 Si 2.29-2.37
Rh 0.5000 0.6436 0.0937  4 Si 2.29-2.37
Rh 0.0000 0.1436 0.5937  4 Si 2.29-2.37
Rh 0.5000 0.9063 0.6436  4 Si 2.29-2.37
Rh 0.0000 0.8564 0.4063  4 Si 2.29-2.37
Rh 0.0000 0.4063 0.1436  4 Si 2.29-2.37
Rh 0.5000 0.0937 0.3564  4 Si 2.29-2.37

For the records above, the corresponding calculated volume values read 77.5, 173.9, 249.7, 663.5, 277.8, 494.1, 111.0, 153.8 Å³/f.u..